# 1
# PBE PrSmGa2Ir2, relaxed
# M_tot: 0.0 μB/cell
# E_tot: -37.69 eV/cell
# DOS at the Fermi energy: 3.95 states/eV/cell
# energy relative to the elements: -735.1 meV/atom
data_PrSmGa2Ir2
_symmetry_space_group_name_H-M 'P 1'
_symmetry_Int_Tables_number 1
_symmetry_space_group_name_Hall 'P 1'
_cell_length_a 4.389
_cell_length_b 4.389
_cell_length_c 7.678
_cell_angle_alpha 90.00
_cell_angle_beta 90.00
_cell_angle_gamma 120.00
loop_
_atom_site_label
_atom_site_fract_x
_atom_site_fract_y
_atom_site_fract_z
Pr1 0.000 0.000 0.000
Sm1 0.000 0.000 0.500
Ga1 0.333 0.667 0.259
Ga2 0.667 0.333 0.741
Ir1 0.333 0.667 0.741
Ir2 0.667 0.333 0.259

***

# 2
# PBE Pr2Ga3SnIr4, relaxed
# M_tot: 0.0 μB/cell
# E_tot: -64.69 eV/cell
# DOS at the Fermi energy: 5.50 states/eV/cell
# energy relative to the elements: -660.5 meV/atom
data_Pr2Ga3SnIr4
_symmetry_space_group_name_H-M 'P 1'
_symmetry_Int_Tables_number 1
_symmetry_space_group_name_Hall 'P 1'
_cell_length_a 4.365
_cell_length_b 4.365
_cell_length_c 10.419
_cell_angle_alpha 90.00
_cell_angle_beta 90.00
_cell_angle_gamma 90.00
loop_
_atom_site_label
_atom_site_fract_x
_atom_site_fract_y
_atom_site_fract_z
Pr1 0.000 0.500 0.232
Pr2 0.500 0.000 0.768
Ga1 0.000 0.500 0.879
Ga2 0.500 0.000 0.121
Ga3 0.500 0.500 0.500
Sn1 0.000 0.000 0.500
Ir1 0.000 0.000 0.000
Ir2 0.000 0.500 0.640
Ir3 0.500 0.000 0.360
Ir4 0.500 0.500 0.000

***

# 3
# PBE Pr2Ga4SnIr3, relaxed
# M_tot: 0.0 μB/cell
# E_tot: -58.21 eV/cell
# DOS at the Fermi energy: 7.37 states/eV/cell
# energy relative to the elements: -595.3 meV/atom
data_Pr2Ga4SnIr3
_symmetry_space_group_name_H-M 'P 1'
_symmetry_Int_Tables_number 1
_symmetry_space_group_name_Hall 'P 1'
_cell_length_a 4.226
_cell_length_b 4.226
_cell_length_c 11.166
_cell_angle_alpha 90.00
_cell_angle_beta 90.00
_cell_angle_gamma 90.00
loop_
_atom_site_label
_atom_site_fract_x
_atom_site_fract_y
_atom_site_fract_z
Pr1 0.000 0.500 0.237
Pr2 0.500 0.000 0.763
Ga1 0.000 0.000 0.000
Ga2 0.000 0.500 0.650
Ga3 0.500 0.000 0.350
Ga4 0.500 0.500 0.000
Sn1 0.000 0.000 0.500
Ir1 0.000 0.500 0.872
Ir2 0.500 0.000 0.128
Ir3 0.500 0.500 0.500

***

# 4
# PBE SrPrGa2Ir2, relaxed
# M_tot: 0.0 μB/cell
# E_tot: -33.91 eV/cell
# DOS at the Fermi energy: 3.39 states/eV/cell
# energy relative to the elements: -611.9 meV/atom
data_SrPrGa2Ir2
_symmetry_space_group_name_H-M 'P 1'
_symmetry_Int_Tables_number 1
_symmetry_space_group_name_Hall 'P 1'
_cell_length_a 4.329
_cell_length_b 4.329
_cell_length_c 8.524
_cell_angle_alpha 90.00
_cell_angle_beta 90.00
_cell_angle_gamma 120.00
loop_
_atom_site_label
_atom_site_fract_x
_atom_site_fract_y
_atom_site_fract_z
Sr1 0.000 0.000 0.000
Pr1 0.000 0.000 0.500
Ga1 0.333 0.667 0.739
Ga2 0.667 0.333 0.261
Ir1 0.333 0.667 0.277
Ir2 0.667 0.333 0.723